Density functional theory data (PBE) for an optimized crystal structure of Rb2TlSn2.

a b c (Å): 13.7858 9.9181 8.5281
angles (deg): 90.00 118.15 90.00
Last column: nearest neighbours and their distance in Å.
Space group C2/m (No. 12)
Inequivalent atoms, fractional coordinates:
Rb 0.1796 0.2235 0.1977 x8  3 Sn 3.65-3.83, 1 Tl 3.93
Tl 0.0000 0.2601 0.5000 x4  4 Sn 3.28-3.35
Sn 0.0757 0.0000 0.7839 x4  2 Sn 2.94-2.95
Sn 0.1507 0.0000 0.5127 x4  2 Sn 2.94-2.95, 2 Tl 3.28

Output
* E_tot: -52.23 eV per cell
* total magnetic moment: 0.00 μB per atom
* distance to the lowest polymorph of the same formula: 0.0000 eV/atom
* Fermi-level density of states: 0.45 states/eV per cell